# HfIn2Pd | Alexandria | GGA-PBE | optimized geometry
data_HfIn2Pd
_cell_length_a 6.856
_cell_length_b 6.856
_cell_length_c 6.856
_cell_angle_alpha 90.00
_cell_angle_beta 90.00
_cell_angle_gamma 90.00
_symmetry_space_group_name_H-M 'F m -3 m'
_symmetry_Int_Tables_number 225
_symmetry_space_group_name_Hall '-F 4 2 3'
loop_
_atom_site_label
_atom_site_type_symbol
_atom_site_fract_x
_atom_site_fract_y
_atom_site_fract_z
_atom_site_occupancy
Hf1 Hf 0.000 0.000 0.000 1
In1 In 0.250 0.250 0.250 1
Pd1 Pd 0.000 0.000 0.500 1
# Electronic total energy = -21.25 eV/f.u.
# Formation energy = -0.62 eV per formula unit
# Energy above the most stable polymorph in this dataset = 0.193 eV/atom
# Calculated density = 10.6 g/cm3
# Size of the total moment = 0.00 μB/atom
# Calculated volume = 20.14 Å³/atom